This record from the Alexandria database describes crystalline CsPCl4 at its relaxed geometry. The functional is PBE-GGA.

As for the formation energy from raw total energies: -1.0351 eV/atom. For the uncorrected energy, the calculation gives -0.2433 Ry/atom. The value obtained for the calculated density is 2.09 Mg/m³. For the distance to the lowest polymorph of the same formula, the calculation gives 0.047 eV per atom.

It has space group Pmn2_1 (No. 31), with a = 10.2203 Å, b = 5.6623 Å, c = 8.3896 Å, α = 90.00°, β = 90.00° and γ = 90.00°. Symmetry generates all atoms from Cs at (0.0000, 0.2405, 0.0000), P at (0.0000, 0.7828, 0.5482), Cl at (0.0000, 0.1458, 0.5135), Cl at (0.0000, 0.7390, 0.2027) and Cl at (0.1593, 0.7649, 0.7141).

This record from the Alexandria database describes crystalline DySc2 at its relaxed geometry. The functional is PBE-GGA.

For the uncorrected energy, the calculation gives -0.4212 Ry/atom. The value obtained for the energy of formation is 24 meV per atom. The value obtained for the calculated density is 5.21 Mg/m³. For the distance to the lowest polymorph of the same formula, the calculation gives 0.000 eV per atom.

It has space group Cmcm (No. 63), with a = 3.4105 Å, b = 17.7218 Å, c = 5.3228 Å, α = 90.00°, β = 90.00° and γ = 90.00°. Symmetry generates all atoms from Dy at (0.0000, 0.1112, 0.2500), Sc at (0.0000, 0.2217, 0.7500) and Sc at (0.0000, 0.4436, 0.2500).

This record from the Alexandria database describes crystalline LiSe2BrF at its relaxed geometry. The functional is PBE-GGA.

As for the formation energy from raw total energies: 0.1002 eV/atom. For the uncorrected energy, the calculation gives -0.1753 Ry/atom. The value obtained for the calculated density is 4.32 Mg/m³. For the distance to the lowest polymorph of the same formula, the calculation gives 0.339 eV per atom.

It has space group P4/mmm (No. 123), with a = 4.6400 Å, b = 4.6400 Å, c = 4.7140 Å, α = 90.00°, β = 90.00° and γ = 90.00°. Symmetry generates all atoms from Li at (0.0000, 0.0000, 0.0000), Se at (0.0000, 0.5000, 0.0000), Br at (0.0000, 0.0000, 0.5000) and F at (0.5000, 0.5000, 0.5000).

This record from the Alexandria database describes crystalline AlInSnF6 at its relaxed geometry. The functional is PBE-GGA.

As for the formation energy from raw total energies: -2.6931 eV/atom. For the uncorrected energy, the calculation gives -0.3752 Ry/atom. The value obtained for the calculated density is 4.14 Mg/m³.

It has space group P1 (No. 1), with a = 5.3160 Å, b = 5.6224 Å, c = 5.6313 Å, α = 63.20°, β = 89.93° and γ = 89.85°. Symmetry generates all atoms from Al at (0.0000, 0.0000, 0.0000), In at (0.5424, 0.3311, 0.3361), Sn at (0.0830, 0.6751, 0.6868), F at (0.1637, 0.1119, 0.6777), F at (0.1754, 0.6845, 0.1149), F at (0.2295, 0.1479, 0.1241), F at (0.7818, 0.8358, 0.8521), F at (0.8156, 0.3106, 0.8624) and F at (0.8245, 0.8654, 0.3147).

This record from the Alexandria database describes crystalline CsRbO2F at its relaxed geometry. The functional is PBE-GGA.

As for the formation energy from raw total energies: -0.4284 eV/atom. For the uncorrected energy, the calculation gives -0.2315 Ry/atom. The value obtained for the calculated density is 3.09 Mg/m³.

It has space group P4/mmm (No. 123), with a = 5.4055 Å, b = 5.4055 Å, c = 4.9512 Å, α = 90.00°, β = 90.00° and γ = 90.00°. Symmetry generates all atoms from Cs at (0.0000, 0.0000, 0.0000), Rb at (0.5000, 0.5000, 0.0000), O at (0.0000, 0.5000, 0.5000) and F at (0.0000, 0.0000, 0.5000).

This record from the Alexandria database describes crystalline LaPmSm6Tm2 at its relaxed geometry. The functional is PBE-GGA.

For the uncorrected energy, the calculation gives -0.3364 Ry/atom. The value obtained for the energy of formation is 117 meV per atom. The value obtained for the calculated density is 7.46 Mg/m³.

It has space group C2/c (No. 15), with a = 9.3396 Å, b = 15.1265 Å, c = 9.6734 Å, α = 90.00°, β = 97.11° and γ = 90.00°. Symmetry generates all atoms from La at (0.0000, 0.0939, 0.2500), Pm at (0.0000, 0.4655, 0.7500), Sm at (0.0665, 0.3256, 0.4429), Sm at (0.0940, 0.1102, 0.6188), Sm at (0.2100, 0.2724, 0.8209) and Tm at (0.2460, 0.4514, 0.0499).